No. 1
Density functional theory data (GGA-PBE) for a relaxed SrCrMo2 crystal.

Summary:
mass density	7.6	g/cm³
energy of formation	0.791	eV per atom
energy relative to the lowest polymorph listed for this composition	125.6	meV/atom
energy	-7.45	eV/atom

Cell lengths 3.290, 4.616, 9.507 Å; angles 90.00, 90.00, 90.00 degrees
Space group Cmmm (No. 65)
Inequivalent atoms, fractional coordinates:
Sr 0.000 0.000 0.000
Cr 0.000 0.000 0.500
Mo 0.000 0.500 0.301



No. 2
Density functional theory data (GGA-PBE) for a relaxed CoGe4Rh crystal.

Summary:
mass density	6.6	g/cm³
energy of formation	0.083	eV per atom
energy	-5.40	eV/atom

Cell lengths 8.871, 8.871, 5.748 Å; angles 90.00, 90.00, 90.00 degrees
Space group I4_1/amd (No. 141, origin choice 2)
Inequivalent atoms, fractional coordinates:
Co 0.000 0.250 0.375
Ge 0.000 0.011 0.243
Rh 0.000 0.250 0.875



No. 3
Density functional theory data (GGA-PBE) for a relaxed KY2CrSi crystal.

Summary:
mass density	3.2	g/cm³
energy	-5.43	eV/atom

Cell lengths 5.631, 5.631, 4.822 Å; angles 90.00, 90.00, 90.00 degrees
Space group P4/mmm (No. 123)
Inequivalent atoms, fractional coordinates:
K 0.000 0.000 0.000
Y 0.000 0.500 0.500
Cr 0.500 0.500 0.000
Si 0.500 0.500 0.500



No. 4
Density functional theory data (GGA-PBE) for a relaxed PrHoOsO6 crystal.

Summary:
mass density	7.4	g/cm³
energy	-7.94	eV/atom

Cell lengths 5.5265, 5.5265, 10.0238 Å; angles 90.00, 90.00, 120.00 degrees
Space group P-31c (No. 163)
Inequivalent atoms, fractional coordinates:
Pr 0.0000 0.0000 0.0000
Ho 0.3333 0.6667 0.2500
Os 0.3333 0.6667 0.7500
O 0.0410 0.3775 0.6400



No. 5
Density functional theory data (GGA-PBE) for a relaxed Th2Ga4AgPd3 crystal.

Summary:
mass density	9.9	g/cm³
energy of formation	-0.663	eV per atom
energy	-5.20	eV/atom

Cell lengths 4.333, 4.333, 10.482 Å; angles 90.00, 90.00, 90.00 degrees
Space group P-4m2 (No. 115)
Inequivalent atoms, fractional coordinates:
Th 0.000 0.500 0.243
Ga 0.000 0.000 0.000
Ga 0.000 0.500 0.635
Ga 0.500 0.500 0.000
Ag 0.000 0.000 0.500
Pd 0.000 0.500 0.870
Pd 0.500 0.500 0.500



No. 6
Density functional theory data (GGA-PBE) for a relaxed KTbTe crystal.

Summary:
mass density	5.1	g/cm³
energy	-3.73	eV/atom

Cell lengths 4.747, 4.747, 9.417 Å; angles 90.00, 90.00, 90.00 degrees
Space group P4/nmm (No. 129, origin choice 2)
Inequivalent atoms, fractional coordinates:
K 0.250 0.250 0.140
Tb 0.250 0.750 0.500
Te 0.250 0.250 0.737



No. 7
Density functional theory data (GGA-PBE) for a relaxed Ca3PmNd2Te6 crystal.

Summary:
mass density	5.7	g/cm³
energy	-4.77	eV/atom

Cell lengths 19.728, 4.454, 9.065 Å; angles 90.00, 104.87, 90.00 degrees
Space group C2/m (No. 12)
Inequivalent atoms, fractional coordinates:
Ca 0.000 0.000 0.000
Ca 0.167 0.500 0.334
Pm 0.000 0.000 0.500
Nd 0.167 0.500 0.835
Te 0.001 0.500 0.249
Te 0.165 0.000 0.087
Te 0.167 0.000 0.580



No. 8
Density functional theory data (GGA-PBE) for a relaxed Tb12DyHo2 crystal.

Summary:
mass density	8.3	g/cm³
energy of formation	0.116	eV per atom
energy	-4.51	eV/atom

Cell lengths 3.551, 5.580, 24.291 Å; angles 90.00, 94.12, 90.00 degrees
Space group P2/m (No. 10)
Inequivalent atoms, fractional coordinates:
Tb 0.037 0.000 0.073
Tb 0.225 0.000 0.444
Tb 0.285 0.500 0.575
Tb 0.334 0.000 0.671
Tb 0.400 0.000 0.799
Tb 0.430 0.500 0.863
Dy 0.500 0.500 0.000
Ho 0.136 0.500 0.272



No. 9
Density functional theory data (GGA-PBE) for a relaxed K3Tm3TaSe8 crystal.

Summary:
mass density	5.4	g/cm³
energy	-5.27	eV/atom

Cell lengths 8.0696, 8.0696, 23.5767 Å; angles 90.00, 90.00, 120.00 degrees
Space group R-3m (No. 166, hexagonal axes)
Inequivalent atoms, fractional coordinates:
K 0.0000 0.5000 0.0000
Tm 0.0000 0.5000 0.5000
Ta 0.0000 0.0000 0.5000
Se 0.0000 0.0000 0.2347
Se 0.0189 0.5094 0.2314



No. 10
Density functional theory data (GGA-PBE) for a relaxed Ce2PdPt6 crystal.

Summary:
mass density	15.1	g/cm³
energy of formation	-0.776	eV per atom
energy	-6.70	eV/atom

Cell lengths 9.622, 5.562, 6.399 Å; angles 90.00, 90.29, 90.00 degrees
Space group C2/m (No. 12)
Inequivalent atoms, fractional coordinates:
Ce 0.167 0.000 0.352
Pd 0.000 0.500 0.500
Pt 0.086 0.242 0.824
Pt 0.172 0.500 0.178



No. 11
Density functional theory data (GGA-PBE) for a relaxed Tm2Fe17 crystal.

Summary:
mass density	8.5	g/cm³
energy of formation	-0.025	eV per atom
energy	-8.07	eV/atom

Cell lengths 8.3898, 8.3898, 12.3726 Å; angles 90.00, 90.00, 120.00 degrees
Space group R-3m (No. 166, hexagonal axes)
Inequivalent atoms, fractional coordinates:
Tm 0.0000 0.0000 0.1602
Fe 0.0000 0.0000 0.4039
Fe 0.0000 0.3001 0.5000
Fe 0.0000 0.5000 0.0000
Fe 0.0011 0.5005 0.6576



No. 12
Density functional theory data (GGA-PBE) for a relaxed TbPrSbO2 crystal.

Summary:
mass density	7.0	g/cm³
energy	-7.32	eV/atom

Cell lengths 3.950, 3.950, 13.702 Å; angles 90.00, 90.00, 90.00 degrees
Space group I4mm (No. 107)
Inequivalent atoms, fractional coordinates:
Tb 0.000 0.000 0.000
Pr 0.000 0.000 0.672
Sb 0.000 0.000 0.337
O 0.000 0.500 0.079